Record 1
VASP calculation (PBE) on a relaxed BaTcBr3 crystal.

Calculated values
**Formation energy from raw total energies**: -0.194 eV per atom
**ΔE to the lowest computed polymorph**: 2.32 eV per formula unit
**SG**: Pm-3m (221)
**Crystal system**: cubic
**Total energy**: -3.66 eV per atom

The structure in extended XYZ format:
```
5
Lattice="6.274 0.000 0.000 0.000 6.274 0.000 0.000 0.000 6.274" Properties=species:S:1:pos:R:3 pbc="T T T"
Ba 0.000 0.000 0.000
Tc 3.137 3.137 3.137
Br 0.000 0.000 3.137
Br 0.000 3.137 0.000
Br 3.137 0.000 0.000
```

=====

Record 2
VASP calculation (PBE) on a relaxed BeTl2Se crystal.

Calculated values
**Formation energy from raw total energies**: 0.391 eV per atom
**ΔE to the lowest computed polymorph**: 2.33 eV per formula unit
**SG**: Immm (71)
**Crystal system**: orthorhombic
**Total energy**: -2.60 eV per atom

The structure in extended XYZ format:
```
4
Lattice="-2.022 3.023 4.039 2.022 -3.023 4.039 2.022 3.023 -4.039" Properties=species:S:1:pos:R:3 pbc="T T T"
Be 0.000 0.000 0.000
Tl 2.022 0.000 1.762
Tl 0.000 3.023 2.278
Se 0.000 0.000 4.039
```

=====

Record 3
VASP calculation (PBE) on a relaxed CaThPb2 crystal.

Calculated values
**ΔE to the lowest computed polymorph**: 0.83 eV per formula unit
**SG**: R3m (160)
**Crystal system**: trigonal
**Total energy**: -4.40 eV per atom

The structure in extended XYZ format:
```
4
Lattice="2.410 1.392 6.978 -2.410 1.392 6.978 0.000 -2.783 6.978" Properties=species:S:1:pos:R:3 pbc="T T T"
Ca 0.000 0.000 0.000
Th 0.000 0.000 3.722
Pb 0.000 0.000 12.379
Pb 0.000 0.000 15.857
```

=====

Record 4
VASP calculation (PBE) on a relaxed MgBr crystal.

Calculated values
**Formation energy from raw total energies**: -0.777 eV per atom
**SG**: Imma (74)
**Crystal system**: orthorhombic
**Total energy**: -2.41 eV per atom

The structure in extended XYZ format:
```
4
Lattice="-1.789 3.617 5.022 1.789 -3.617 5.022 1.789 3.617 -5.022" Properties=species:S:1:pos:R:3 pbc="T T T"
Mg 0.000 1.809 1.223
Mg 1.789 1.809 3.799
Br 1.789 1.809 -0.679
Br 0.000 1.809 5.701
```

=====

Record 5
VASP calculation (PBE) on a relaxed HfAsClF2 crystal.

Calculated values
**Formation energy from raw total energies**: -1.017 eV per atom
**SG**: P4/mmm (123)
**Crystal system**: tetragonal
**Total energy**: -5.06 eV per atom

The structure in extended XYZ format:
```
5
Lattice="4.043 0.000 0.000 0.000 4.043 0.000 0.000 0.000 5.576" Properties=species:S:1:pos:R:3 pbc="T T T"
Hf 0.000 0.000 0.000
As 0.000 0.000 2.788
Cl 2.022 2.022 0.000
F 0.000 2.022 2.788
F 2.022 0.000 2.788
```

=====

Record 6
VASP calculation (PBE) on a relaxed Na2AuSeO4 crystal.

Calculated values
**Formation energy from raw total energies**: -0.795 eV per atom
**SG**: I-4 (82)
**Crystal system**: tetragonal
**Total energy**: -4.45 eV per atom

The structure in extended XYZ format:
```
8
Lattice="-3.273 3.273 3.141 3.273 -3.273 3.141 3.273 3.273 -3.141" Properties=species:S:1:pos:R:3 pbc="T T T"
Na 0.000 0.000 0.000
Na 0.000 3.273 1.570
Au 0.000 0.000 3.141
Se 3.273 0.000 1.570
O 2.162 0.762 0.548
O 2.511 -1.112 2.593
O 0.762 4.385 -0.548
O 1.112 2.511 3.689
```

=====

Record 7
VASP calculation (PBE) on a relaxed Pm2HoPuP4 crystal.

Calculated values
**SG**: P2/m (10)
**Crystal system**: monoclinic
**Total energy**: -7.72 eV per atom

The structure in extended XYZ format:
```
8
Lattice="7.014 0.000 0.000 0.000 4.065 0.000 -2.342 0.000 6.624" Properties=species:S:1:pos:R:3 pbc="T T T"
Pm 0.000 0.000 0.000
Pm 3.507 2.032 0.000
Ho -1.171 2.032 3.312
Pu 2.336 0.000 3.312
P 0.010 0.000 4.899
P 1.182 2.032 1.736
P 3.491 2.032 4.888
P 4.663 0.000 1.725
```

=====

Record 8
VASP calculation (PBE) on a relaxed Pr8Er3Mg crystal.

Calculated values
**SG**: I-42m (121)
**Crystal system**: tetragonal
**Total energy**: -3.94 eV per atom

The structure in extended XYZ format:
```
12
Lattice="-4.366 4.366 5.842 4.366 -4.366 5.842 4.366 4.366 -5.842" Properties=species:S:1:pos:R:3 pbc="T T T"
Pr 3.249 3.249 -2.896
Pr 2.161 -2.161 5.695
Pr 2.205 2.205 0.147
Pr 1.117 1.117 2.946
Pr 1.117 -1.117 8.738
Pr -2.161 2.161 5.695
Pr 2.161 2.161 5.988
Pr -1.117 1.117 8.738
Er 4.366 0.000 2.921
Er 0.000 0.000 5.842
Er 0.000 4.366 2.921
Mg 0.000 0.000 0.000
```